Record 1
NiIrRh: single point on PBEsol structure, SCAN.

extended XYZ file:
```
3
Lattice="-1.0448 0.9618 -2.2604 -2.8727 -2.2413 0.3742 0.0816 3.3857 2.9792" Properties=species:S:1:pos:R:3 pbc="T T T"
Ni -2.5785 0.2668 -0.2709
Ir -0.0089 0.0130 0.0097
Rh -1.2486 1.8264 1.3543
```

## Properties
ΔE_f: 0.004 eV per atom
Crystal system: orthorhombic
Uncorrected energy: -40.34 eV per atom
Symmetry: Imm2, No. 44
Polymorph energy (0 for the lowest one): 0.0 meV per atom
DOS at the Fermi energy: 3.39 states/eV/cell


Record 2
HfMgOs3: single point on PBEsol structure, SCAN.

extended XYZ file:
```
5
Lattice="4.4009 0.0000 0.0000 0.0000 4.4009 0.0000 0.0000 0.0000 4.4009" Properties=species:S:1:pos:R:3 pbc="T T T"
Hf 2.2005 2.2005 2.2005
Os 0.0000 0.0000 2.2005
Os 0.0000 2.2005 0.0000
Mg 0.0000 0.0000 0.0000
Os 2.2005 0.0000 0.0000
```

## Properties
ΔE_f: 1.489 eV per atom
Crystal system: cubic
Uncorrected energy: -55.17 eV per atom
Symmetry: Pm-3m, No. 221
DOS at the Fermi energy: 7.83 states/eV/cell


Record 3
Sc2CoCl: single point on PBEsol structure, SCAN.

extended XYZ file:
```
4
Lattice="-2.2143 1.4156 2.4614 -2.4525 -2.5266 -0.7531 2.0761 -3.1040 3.6528" Properties=species:S:1:pos:R:3 pbc="T T T"
Sc 1.8156 -2.7146 3.1946
Sc -1.5520 -1.7238 2.2290
Co -0.5172 -3.2709 4.0497
Cl 0.7769 -1.1616 1.3670
```

## Properties
Crystal system: tetragonal
Uncorrected energy: -14.03 eV per atom
Symmetry: P4mm, No. 99
Polymorph energy (0 for the lowest one): 303.0 meV per atom
Raw formation energy: -0.588 eV per atom
DOS at the Fermi energy: 3.42 states/eV/cell


Record 4
Li2ZrHg: single point on PBEsol structure, SCAN.

extended XYZ file:
```
4
Lattice="4.0586 0.0000 0.0000 0.0000 4.0586 0.0000 0.0000 0.0000 4.6360" Properties=species:S:1:pos:R:3 pbc="T T T"
Zr 2.0293 2.0293 2.3180
Hg 0.0000 0.0000 2.3180
Li 2.0293 0.0000 0.0000
Li 0.0000 2.0293 0.0000
```

## Properties
ΔE_f: -0.079 eV per atom
Crystal system: tetragonal
Uncorrected energy: -25.99 eV per atom
Symmetry: P4/mmm, No. 123
DOS at the Fermi energy: 4.16 states/eV/cell


Record 5
SbI2NF: single point on PBEsol structure, SCAN.

extended XYZ file:
```
5
Lattice="4.6006 0.0000 0.0000 0.0000 4.8836 0.0000 0.0000 0.0000 4.8836" Properties=species:S:1:pos:R:3 pbc="T T T"
I 0.0000 2.4418 0.0000
N 0.0000 0.0000 0.0000
F 2.3003 2.4418 2.4418
I 0.0000 0.0000 2.4418
Sb 2.3003 0.0000 0.0000
```

## Properties
Crystal system: tetragonal
Uncorrected energy: -24.10 eV per atom
Symmetry: P4/mmm, No. 123
Raw formation energy: 0.611 eV per atom
DOS at the Fermi energy: 2.02 states/eV/cell


Record 6
NaMg3Tl: single point on PBEsol structure, SCAN.

extended XYZ file:
```
5
Lattice="5.3572 0.0000 0.0000 0.0000 5.3572 0.0000 0.0000 0.0000 5.3572" Properties=species:S:1:pos:R:3 pbc="T T T"
Mg 2.6786 0.0000 0.0000
Mg 0.0000 0.0000 2.6786
Mg 0.0000 2.6786 0.0000
Tl 2.6786 2.6786 2.6786
Na 0.0000 0.0000 0.0000
```

## Properties
ΔE_f: 0.651 eV per atom
Crystal system: cubic
Uncorrected energy: -17.65 eV per atom
Symmetry: Pm-3m, No. 221
DOS at the Fermi energy: 2.98 states/eV/cell


Record 7
TiNb3O6: single point on PBEsol structure, SCAN.

extended XYZ file:
```
20
Lattice="6.6363 0.0070 0.0056 1.9062 6.3566 0.0056 1.9062 1.4200 6.1960" Properties=species:S:1:pos:R:3 pbc="T T T"
Nb 3.7579 1.5974 5.4676
Nb 3.9250 5.8104 5.8665
Nb 2.6062 6.0301 1.8479
Ti 2.8497 2.1229 1.6929
O 7.4623 1.7969 2.1870
O 2.7063 3.9957 1.6335
O 3.8577 3.6089 5.9826
O 5.8866 1.3583 4.9420
O 3.1525 1.8828 3.5320
O 7.2962 5.9008 2.6751
Nb 6.5238 1.9732 0.3406
O 7.7424 3.7879 4.5737
O 4.6032 1.9150 1.0496
O 5.8455 5.8686 5.1576
O 2.9864 5.9867 4.0201
Ti 7.5990 5.6607 4.5142
Nb 6.6908 6.1862 0.7395
Nb 7.8425 1.7535 4.3592
O 6.5910 4.1747 0.2245
O 4.5621 6.4253 1.2651
```

## Properties
Crystal system: trigonal
Uncorrected energy: -17.99 eV per atom
Symmetry: R-3, No. 148
Raw formation energy: -2.708 eV per atom


Record 8
La2YCd: single point on PBEsol structure, SCAN.

extended XYZ file:
```
4
Lattice="3.8115 0.0000 0.0000 0.0000 5.3221 0.0000 -1.9058 -2.6610 6.0152" Properties=species:S:1:pos:R:3 pbc="T T T"
Cd 0.0000 2.6610 0.0000
La 1.9058 2.6610 2.6192
La 0.0000 0.0000 3.3960
Y 1.9058 0.0000 0.0000
```

## Properties
ΔE_f: -0.192 eV per atom
Crystal system: orthorhombic
Uncorrected energy: -36.31 eV per atom
Symmetry: Immm, No. 71
DOS at the Fermi energy: 3.98 states/eV/cell